Entry 1:
Crystalline MnSn3Br at its relaxed geometry. Source: the Alexandria database, functional PBEsol.

abc: 5.4178 5.4178 5.4178
angles: 90.00 90.00 90.00
Positions (direct):
Mn (0.0000, 0.0000, 0.0000)
Sn (0.0000, 0.5000, 0.5000)
Sn (0.5000, 0.0000, 0.5000)
Sn (0.5000, 0.5000, 0.0000)
Br (0.5000, 0.5000, 0.5000)

Space group: Pm-3m, No. 221

***

Entry 2:
Crystalline MnSn3Br at its relaxed geometry. Source: the Alexandria database, functional PBEsol.

abc: 4.9238 4.9238 4.9238
angles: 90.00 90.00 90.00
Positions (direct):
Mn (0.0000, 0.0000, 0.0000)
Sn (0.0000, 0.0000, 0.5000)
Sn (0.0000, 0.5000, 0.0000)
Sn (0.5000, 0.0000, 0.0000)
Br (0.5000, 0.5000, 0.5000)

Space group: Pm-3m, No. 221

***

Number 1: ΔE_f (raw) 5.15 eV/f.u., offset from the most stable computed form 1218 meV per atom. Number 2: ΔE_f (raw) -0.94 eV/f.u., offset from the most stable computed form 0 meV per atom.